Computed, not measured: BeAl2P2 after structural relaxation at the PBE level of DFT.

Structure (extended XYZ):
```
10
Lattice="6.6357 0.0000 0.0000 0.0000 6.6357 0.0000 0.0000 0.0000 3.3859" Properties=species:S:1:pos:R:3 pbc="T T T"
Be 0.0000 0.0000 0.0000
Be 3.3179 3.3179 0.0000
Al 0.9330 2.3848 0.0000
Al 2.3848 5.7027 0.0000
Al 4.2509 0.9330 0.0000
Al 5.7027 4.2509 0.0000
P 1.1439 4.4618 1.6930
P 2.1739 1.1439 1.6930
P 4.4618 5.4918 1.6930
P 5.4918 2.1739 1.6930
```

Results
Spin magnetization (μB per formula unit): 0.00
Energy of formation (eV per atom): 0.282